# 1
The following is a DFT calculation (PBE-GGA) of an optimized crystal structure of BeAg2Bi.

```
BeAg2Bi
1.0
0.000 3.368 3.368
3.368 0.000 3.368
3.368 3.368 0.000
Ag Bi Be
2 1 1
Cartesian
0.000 0.000 0.000
5.052 5.052 5.052
3.368 3.368 3.368
1.684 1.684 1.684
```

Results
E: -2.9012 eV per atom

---

# 2
The following is a DFT calculation (PBE-GGA) of an optimized crystal structure of Li2Sc2InGaAg2.

```
Li2Sc2InGaAg2
1.0
-0.018 2.879 -3.639
1.351 -3.478 -2.758
-6.295 -1.517 -1.170
Li Ga Ag In Sc
2 1 2 1 2
Cartesian
-4.109 -2.892 -2.268
-1.519 1.075 -2.100
0.000 0.000 0.000
-4.795 0.286 -2.709
-0.833 -2.103 -1.659
-2.481 -1.058 -3.783
-3.148 -0.759 -0.585
0.667 -0.300 -3.199
```

Results
total moment: 0.0 μB/f.u.
E: -3.8427 eV per atom

---

# 3
The following is a DFT calculation (PBE-GGA) of an optimized crystal structure of GeB4W.

```
GeB4W
1.0
-1.497 2.704 3.445
1.497 -2.704 3.445
1.497 2.704 -3.445
B Ge W
4 1 1
Cartesian
1.497 0.875 1.754
0.000 3.578 1.690
0.000 1.829 1.690
1.497 -0.875 1.754
0.000 0.000 3.445
0.000 0.000 0.000
```

Results
energy relative to the lowest polymorph listed for this composition: 78 meV/atom
total moment: 0.0 μB/f.u.

---

# 4
The following is a DFT calculation (PBE-GGA) of an optimized crystal structure of ZrGa2Mo.

```
ZrGa2Mo
1.0
2.210 1.477 3.766
-2.308 0.583 3.948
0.711 -2.876 3.532
Ga Mo Zr
2 1 1
Cartesian
0.307 -0.408 5.623
0.153 -0.204 2.812
0.000 0.000 0.000
0.460 -0.612 8.435
```

Results
total moment: 0.0 μB/f.u.
E: -6.2674 eV per atom

---

# 5
The following is a DFT calculation (PBE-GGA) of an optimized crystal structure of LaDyHf.

```
LaDyHf
1.0
-0.046 0.078 5.240
-4.561 -0.061 2.582
-1.442 -4.272 2.672
La Hf Dy
1 1 1
Cartesian
-4.537 -3.192 7.871
0.000 0.000 0.000
-1.512 -1.064 2.624
```

Results
energy relative to the lowest polymorph listed for this composition: 0 meV/atom
ΔE_f: 0.81 eV/atom
total moment: 1.9 μB/f.u.

---

# 6
The following is a DFT calculation (PBE-GGA) of an optimized crystal structure of AlTlPdSe3.

```
AlTlPdSe3
1.0
7.774 0.000 0.000
0.000 3.658 0.000
-3.485 0.000 10.570
Al Tl Se Pd
2 2 6 2
Cartesian
5.097 0.915 6.423
-0.808 2.744 4.147
3.082 2.744 2.119
1.207 0.915 8.451
-0.879 2.744 6.624
3.472 2.744 7.015
0.817 0.915 3.554
-1.783 0.915 10.305
6.071 2.744 0.265
5.168 0.915 3.946
-0.402 0.915 1.259
4.691 2.744 9.310
```

Results
E: -4.0755 eV per atom

---

# 7
The following is a DFT calculation (PBE-GGA) of an optimized crystal structure of ZrGaPO.

```
ZrGaPO
1.0
5.090 0.000 0.000
0.000 5.090 0.000
0.000 0.000 4.731
P O Ga Zr
2 2 2 2
Cartesian
2.545 0.000 1.856
0.000 2.545 2.874
0.000 0.000 0.000
2.545 2.545 0.000
0.000 2.545 0.418
2.545 0.000 4.313
2.545 2.545 2.365
0.000 0.000 2.365
```

Results
energy relative to the lowest polymorph listed for this composition: 283 meV/atom
total moment: 0.0 μB/f.u.

---

# 8
The following is a DFT calculation (PBE-GGA) of an optimized crystal structure of CdFeBAu.

```
CdFeBAu
1.0
0.000 3.113 3.113
3.113 0.000 3.113
3.113 3.113 0.000
Au Fe Cd B
1 1 1 1
Cartesian
3.113 3.113 3.113
4.669 4.669 4.669
1.556 1.556 1.556
0.000 0.000 0.000
```

Results
energy relative to the lowest polymorph listed for this composition: 0 meV/atom
total moment: 2.7 μB/f.u.

---

# 9
The following is a DFT calculation (PBE-GGA) of an optimized crystal structure of CsLuZnTeSe2.

```
CsLuZnTeSe2
1.0
-2.838 -0.212 8.257
-0.868 -1.727 -8.517
5.100 -9.950 1.498
Zn Te Lu Se Cs
2 2 2 4 2
Cartesian
0.351 -4.171 -7.660
1.044 -7.718 8.898
1.830 -8.322 2.209
-0.435 -3.567 -0.972
0.697 -5.944 0.619
-1.853 -0.969 -0.130
0.246 -5.984 7.339
-0.748 -2.206 -6.658
2.142 -9.683 7.896
1.148 -5.904 -6.102
-1.040 -3.102 4.177
2.434 -8.787 -2.939
```

Results
total moment: 0.0 μB/f.u.
E: -4.0819 eV per atom

---

# 10
The following is a DFT calculation (PBE-GGA) of an optimized crystal structure of CsTaAgTeS2.

```
CsTaAgTeS2
1.0
-0.789 6.182 -6.150
-2.912 -5.949 5.726
-0.393 7.417 7.506
Ag Te S Cs Ta
2 2 4 2 2
Cartesian
-3.127 0.070 10.909
-0.967 7.580 -3.827
-2.320 4.682 6.394
-1.774 2.968 0.688
-2.916 -0.760 8.615
-1.012 5.289 -4.691
-3.081 2.361 11.774
-1.177 8.410 -1.533
-1.670 8.395 2.759
-2.424 -0.745 4.323
-2.047 3.825 3.541
-1.851 0.116 -0.212
```

Results
total moment: 0.4 μB/f.u.
E: -5.0772 eV per atom

---

# 11
The following is a DFT calculation (PBE-GGA) of an optimized crystal structure of NaHfZrCo.

```
NaHfZrCo
1.0
0.000 3.317 3.317
3.317 0.000 3.317
3.317 3.317 0.000
Zr Na Hf Co
1 1 1 1
Cartesian
0.000 0.000 0.000
4.975 4.975 4.975
3.317 3.317 3.317
1.658 1.658 1.658
```

Results
energy relative to the lowest polymorph listed for this composition: 0 meV/atom
total moment: 0.2 μB/f.u.

---

What is the formula in the second record? Li2Sc2InGaAg2

---

What is the formula in the sixth record? AlTlPdSe3